TcPS2N | GGA-PBE | optimized geometry

Geometry as POSCAR:
```
TcPS2N
1.0
4.527 0.000 0.000
0.000 4.527 0.000
0.000 0.000 4.891
P Tc N S
1 1 1 2
Cartesian
0.000 0.000 2.445
0.000 0.000 0.000
2.264 2.264 2.445
0.000 2.264 0.000
2.264 0.000 0.000
```

Its space-group type is P4/mmm, No. 123. The density of states at the Fermi level comes out at 0.81 states/eV/atom. The calculation puts the total magnetization at 1.5 μB/f.u. The calculation puts the energy relative to the lowest polymorph listed for this composition at 728 meV/atom.